Record 1
DFT (PBE) results for a relaxed BaSr2CaCo crystal.

```
BaSr2CaCo
1.0
5.9798 0.0000 0.0000
0.0000 5.9798 0.0000
0.0000 0.0000 5.7587
Ba Sr Ca Co
1 2 1 1
direct
0.0000 0.0000 0.0000 Ba
0.0000 0.5000 0.5000 Sr
0.5000 0.0000 0.5000 Sr
0.5000 0.5000 0.0000 Ca
0.5000 0.5000 0.5000 Co
```

Volume = 41.18 Å³ per atom
Distance to the lowest polymorph of the same formula = 0.0 meV/atom
Symmetry = P4/mmm (123)
DFT formation energy = 206.2 meV per atom

Record 2
DFT (PBE) results for a relaxed CeMn2Ga crystal.

```
CeMn2Ga
1.0
2.1650 1.2500 4.3839
-2.1650 1.2500 4.3839
0.0000 -2.4999 4.3839
Ce Mn Ga
1 2 1
direct
0.0000 0.0000 0.0000 Ce
0.1763 0.1763 0.1763 Mn
0.8237 0.8237 0.8237 Mn
0.5000 0.5000 0.5000 Ga
```

Volume = 17.80 Å³ per atom
Symmetry = R-3m (166)
DFT formation energy = -159.9 meV per atom

Record 3
DFT (PBE) results for a relaxed LiZr2Rh3 crystal.

```
LiZr2Rh3
1.0
4.5500 0.0000 0.0000
-2.2750 3.9404 0.0000
0.0000 0.0000 5.5094
Li Zr Rh
1 2 3
direct
0.0000 0.0000 0.0000 Li
0.3333 0.6667 0.6901 Zr
0.6667 0.3333 0.3099 Zr
0.0000 0.0000 0.5000 Rh
0.3333 0.6667 0.1826 Rh
0.6667 0.3333 0.8174 Rh
```

Volume = 16.46 Å³ per atom
Symmetry = P-3m1 (164)
DFT formation energy = -717.3 meV per atom

Record 4
DFT (PBE) results for a relaxed Ce2PaSe6 crystal.

```
Ce2PaSe6
1.0
6.9771 0.0000 0.0000
0.0000 7.3261 0.0000
-5.4206 0.0000 10.3326
Ce Pa Se
4 2 12
direct
0.1674 0.1029 0.2242 Ce
0.1674 0.3971 0.7242 Ce
0.8326 0.6029 0.2758 Ce
0.8326 0.8971 0.7758 Ce
0.5000 0.0000 0.0000 Pa
0.5000 0.5000 0.5000 Pa
0.1236 0.1918 0.9411 Se
0.1236 0.3082 0.4411 Se
0.2338 0.6910 0.9104 Se
0.2338 0.8090 0.4104 Se
0.4365 0.0757 0.7551 Se
0.4365 0.4243 0.2551 Se
0.5635 0.5757 0.7449 Se
0.5635 0.9243 0.2449 Se
0.7662 0.1910 0.5896 Se
0.7662 0.3090 0.0896 Se
0.8764 0.6918 0.5589 Se
0.8764 0.8082 0.0589 Se
```

Formation energy without anion corrections = -1.529 eV per atom
Volume = 29.34 Å³ per atom
Distance to the lowest polymorph of the same formula = 0.0 meV/atom
Symmetry = P2_1/c (14)

Record 5
DFT (PBE) results for a relaxed Zr4Pd12Pt crystal.

```
Zr4Pd12Pt
1.0
-4.1859 4.1859 4.1859
4.1859 -4.1859 4.1859
4.1859 4.1859 -4.1859
Zr Pd Pt
4 12 1
direct
0.0000 0.0000 0.5000 Zr
0.0000 0.5000 0.0000 Zr
0.5000 0.0000 0.0000 Zr
0.5000 0.5000 0.5000 Zr
0.0000 0.3003 0.3003 Pd
0.0000 0.6997 0.6997 Pd
0.2500 0.5000 0.7500 Pd
0.2500 0.7500 0.5000 Pd
0.3003 0.0000 0.3003 Pd
0.3003 0.3003 0.0000 Pd
0.5000 0.2500 0.7500 Pd
0.5000 0.7500 0.2500 Pd
0.6997 0.0000 0.6997 Pd
0.6997 0.6997 0.0000 Pd
0.7500 0.2500 0.5000 Pd
0.7500 0.5000 0.2500 Pd
0.0000 0.0000 0.0000 Pt
```

Volume = 17.26 Å³ per atom
Symmetry = Im-3m (229)
DFT formation energy = -483.3 meV per atom

Record 6
DFT (PBE) results for a relaxed HfAlAu2 crystal.

```
HfAlAu2
1.0
2.8590 -4.4286 0.0000
2.8590 4.4286 0.0000
0.0000 0.0000 2.9741
Hf Al Au
1 1 2
direct
0.0000 0.0000 0.0000 Hf
0.5000 0.5000 0.5000 Al
0.0000 0.5000 0.5000 Au
0.5000 0.0000 0.5000 Au
```

Volume = 18.83 Å³ per atom
Symmetry = Cmmm (65)
DFT formation energy = -329.7 meV per atom

Record 7
DFT (PBE) results for a relaxed TaZn2Re crystal.

```
TaZn2Re
1.0
2.6970 0.0000 0.0000
0.0000 4.2256 0.0000
0.0000 0.0000 5.3967
Ta Zn Re
1 2 1
direct
0.0000 0.0000 0.0000 Ta
0.5000 0.5000 0.2591 Zn
0.5000 0.5000 0.7409 Zn
0.0000 0.0000 0.5000 Re
```

Volume = 15.38 Å³ per atom
Distance to the lowest polymorph of the same formula = 108.1 meV/atom
Symmetry = Pmmm (47)
DFT formation energy = 138.1 meV per atom

Record 8
DFT (PBE) results for a relaxed LiCaBe2H6 crystal.

```
LiCaBe2H6
1.0
2.2502 1.2992 5.3201
-2.2502 1.2992 5.3201
0.0000 -2.5983 5.3201
Li Ca Be H
1 1 2 6
direct
0.0000 0.0000 0.0000 Li
0.5000 0.5000 0.5000 Ca
0.2681 0.2681 0.2681 Be
0.7319 0.7319 0.7319 Be
0.0047 0.4169 0.8309 H
0.1691 0.9953 0.5831 H
0.4169 0.8309 0.0047 H
0.5831 0.1691 0.9953 H
0.8309 0.0047 0.4169 H
0.9953 0.5831 0.1691 H
```

Volume = 9.33 Å³ per atom
VASP energy = -3.328 eV/atom
Symmetry = R-3 (148)

Question: Number 2 is which compound?
Answer: CeMn2Ga

Question: What is the formula in the fourth record?
Answer: Ce2PaSe6